Here is crystalline MnReHgO2 at its relaxed geometry from Alexandria via LeMat-Bulk. Energies are from PBE+U.

abc: 3.8315 3.8315 5.8401
angles: 90.00 90.00 90.00
Closest atoms and distances in Å follow each position.
Element x y z (fractional)
1 Mn 0.0000 0.0000 0.0000  4 Hg 2.71, 2 Re 2.92
2 Re 0.0000 0.0000 0.5000  4 O 1.92
3 Hg 0.5000 0.5000 0.0000  4 Mn 2.71
4 O 0.0000 0.5000 0.5000  2 Re 1.92
5 O 0.5000 0.0000 0.5000  2 Re 1.92

Computed properties:
**Energy**: -0.2411 Ha/atom
**Mass density**: 9.2 g/cm³